First-principles (PBE+U) data for crystalline Na3Cr3SbO8 at its relaxed geometry, as listed in the Alexandria database.

DFT total energy in hartree per atom: -0.2364
Symmetry: C2/m, No. 12

```
15
Lattice="5.309 -3.154 0.000 5.309 3.154 0.000 -3.617 0.000 5.522" Properties=species:S:1:pos:R:3 pbc="T T T"
Na 0.000 0.000 0.000
Na 2.654 1.577 0.000
Na 2.654 -1.577 0.000
Cr 0.846 1.577 2.761
Cr 0.846 -1.577 2.761
Cr 3.500 0.000 2.761
Sb -1.808 0.000 2.761
O 2.598 1.724 3.853
O -0.067 0.000 3.842
O 4.402 1.724 1.670
O 1.703 0.000 1.743
O 5.297 0.000 3.780
O 2.598 -1.724 3.853
O 7.067 0.000 1.680
O 4.402 -1.724 1.670
```